# CaPr2Ga2, relaxed, DFT GGA-PBE
# Formation energy: -0.459 eV/atom
# Magnetic moment: 0.00 μB/cell
data_CaPr2Ga2
_cell_length_a 8.015
_cell_length_b 8.015
_cell_length_c 4.457
_cell_angle_alpha 90.00
_cell_angle_beta 90.00
_cell_angle_gamma 90.00
_space_group_name_H-M_alt 'P 4/m b m'
_space_group_IT_number 127
_space_group_name_Hall '-P 4 2ab'
loop_
_atom_site_label
_atom_site_type_symbol
_atom_site_fract_x
_atom_site_fract_y
_atom_site_fract_z
Ca1 Ca 0.000 0.000 0.000
Pr1 Pr 0.176 0.324 0.500
Ga1 Ga 0.115 0.615 0.000